LaAs3H: relaxed, PBE-GGA.

The structure in CIF format:
```
data_LaAs3H
_chemical_formula_sum 'La1 As3 H1'
_cell_length_a 4.4997
_cell_length_b 4.4997
_cell_length_c 4.4997
_cell_angle_alpha 90.00
_cell_angle_beta 90.00
_cell_angle_gamma 90.00
_symmetry_space_group_name_H-M 'P m -3 m'
_symmetry_Int_Tables_number 221
_symmetry_space_group_name_Hall '-P 4 2 3'
loop_
_atom_site_label
_atom_site_fract_x
_atom_site_fract_y
_atom_site_fract_z
La1 0.0000 0.0000 0.0000
As1 0.0000 0.5000 0.5000
H1 0.5000 0.5000 0.5000
```

As for the polymorph energy (0 for the lowest one): 0 meV per atom. As for the density of states at the Fermi level: 0.2665 states/eV/atom.